DFT (PBE-GGA) results for a relaxed Gd2Np crystal.

a b c (Å): 8.5868 8.5868 8.5868
angles (deg): 60.00 60.00 60.00
Site moments in Bohr magnetons follow the coordinates.
Atoms (fractional coordinates):
Gd: 0.8750 0.3750 0.3750  0.27
Gd: 0.3750 0.8750 0.3750  0.26
Gd: 0.3750 0.3750 0.3750  0.24
Gd: 0.3750 0.3750 0.8750  0.23
Np: 0.2500 0.2500 0.2500  3.73
Np: 0.5000 0.5000 0.5000  3.73

Values from the calculation:
Energy   -4.77 eV per atom
Energy relative to the elements   2.5861 eV per atom
Total moment   8.496 μB per cell
Symmetry   Fd-3m, No. 227

***

DFT (PBE-GGA) results for a relaxed MgGaNiPt crystal.

a b c (Å): 4.3149 4.3149 4.3149
angles (deg): 60.00 60.00 60.00
Atoms (fractional coordinates):
Ga: 0.0000 0.0000 0.0000
Mg: 0.5000 0.5000 0.5000
Ni: 0.7500 0.7500 0.7500
Pt: 0.2500 0.2500 0.2500

Values from the calculation:
Energy relative to the lowest polymorph listed for this composition   0 meV/atom
Energy   -4.61 eV per atom
Total moment   0.003 μB per cell
Symmetry   F-43m, No. 216

***

DFT (PBE-GGA) results for a relaxed LuZnCuB crystal.

a b c (Å): 4.3144 4.3144 4.3144
angles (deg): 60.00 60.00 60.00
Atoms (fractional coordinates):
B: 0.0000 0.0000 0.0000
Cu: 0.7500 0.7500 0.7500
Lu: 0.5000 0.5000 0.5000
Zn: 0.2500 0.2500 0.2500

Values from the calculation:
Energy relative to the lowest polymorph listed for this composition   201 meV/atom
Energy   -3.67 eV per atom
Total moment   0.000 μB per cell
Symmetry   F-43m, No. 216

***

DFT (PBE-GGA) results for a relaxed NbCuBiPd crystal.

a b c (Å): 4.7041 4.7041 4.7041
angles (deg): 60.00 60.00 60.00
Atoms (fractional coordinates):
Bi: 0.0000 0.0000 0.0000
Cu: 0.7500 0.7500 0.7500
Nb: 0.5000 0.5000 0.5000
Pd: 0.2500 0.2500 0.2500

Values from the calculation:
Energy relative to the lowest polymorph listed for this composition   54 meV/atom
Energy   -5.50 eV per atom
Total moment   1.119 μB per cell
Symmetry   F-43m, No. 216

***

DFT (PBE-GGA) results for a relaxed BaTbO3 crystal.

a b c (Å): 6.1529 8.7311 6.2427
angles (deg): 90.00 90.00 90.00
Site moments in Bohr magnetons follow the coordinates.
Atoms (fractional coordinates):
Ba: 0.9933 0.7500 0.0092  0.00
Ba: 0.4933 0.7500 0.4908  -0.01
Ba: 0.5067 0.2500 0.5092  0.00
Ba: 0.0067 0.2500 0.9908  0.00
O: 0.4958 0.2500 0.0833  0.30
O: 0.2438 0.5475 0.2440  0.33
O: 0.2438 0.9525 0.2440  0.33
O: 0.7438 0.5475 0.2560  0.22
O: 0.7438 0.9525 0.2560  0.21
O: 0.9958 0.2500 0.4167  0.30
O: 0.0042 0.7500 0.5833  0.30
O: 0.2562 0.0475 0.7440  0.22
O: 0.2562 0.4525 0.7440  0.22
O: 0.7562 0.0475 0.7560  0.33
O: 0.7562 0.4525 0.7560  0.33
O: 0.5042 0.7500 0.9167  0.30
Tb: 0.5000 0.0000 0.0000  0.05
Tb: 0.5000 0.5000 0.0000  0.06
Tb: 0.0000 0.0000 0.5000  0.06
Tb: 0.0000 0.5000 0.5000  0.05

Values from the calculation:
Energy   -6.98 eV per atom
Total moment   4.000 μB per cell
Symmetry   Pnma, No. 62

***

DFT (PBE-GGA) results for a relaxed TbGa6 crystal.

a b c (Å): 5.9643 5.9643 7.5952
angles (deg): 90.00 90.00 90.00
Atoms (fractional coordinates):
Ga: 0.0000 0.0000 0.1615
Ga: 0.5000 0.5000 0.1615
Ga: 0.3205 0.1795 0.3519
Ga: 0.8205 0.3205 0.3519
Ga: 0.1795 0.6795 0.3519
Ga: 0.6795 0.8205 0.3519
Ga: 0.6795 0.1795 0.6481
Ga: 0.1795 0.3205 0.6481
Ga: 0.8205 0.6795 0.6481
Ga: 0.3205 0.8205 0.6481
Ga: 0.0000 0.0000 0.8385
Ga: 0.5000 0.5000 0.8385
Tb: 0.5000 0.0000 0.0000
Tb: 0.0000 0.5000 0.0000

Values from the calculation:
Energy   -3.58 eV per atom
Total moment   0.002 μB per cell
Symmetry   P4/nbm, No. 125